# PrVF5 PBE+U optimized geometry
# - Fermi-level density of states: 0.000 states/eV per atom
# - E: -0.479 Ry per atom
data_PrVF5
_chemical_formula_sum 'Pr4 V4 F20'
_cell_length_a 9.534
_cell_length_b 6.912
_cell_length_c 7.999
_cell_angle_alpha 90.00
_cell_angle_beta 114.75
_cell_angle_gamma 90.00
_space_group_name_H-M_alt 'C 1 2/c 1'
_space_group_IT_number 15
loop_
_space_group_symop_operation_xyz
'x,y,z'
'-x,-y,-z'
'-x,y,-z+1/2'
'x,-y,z+1/2'
'x+1/2,y+1/2,z'
'-x+1/2,-y+1/2,-z'
'-x+1/2,y+1/2,-z+1/2'
'x+1/2,-y+1/2,z+1/2'
loop_
_atom_site_label
_atom_site_fract_x
_atom_site_fract_y
_atom_site_fract_z
Pr1 0.000 0.053 0.250
V1 0.000 0.500 0.000
F1 0.000 0.398 0.250
F2 0.006 0.190 0.967
F3 0.240 0.481 0.622